(1)
TaCuBr2: optimized geometry, PBEsol.

Structure (CIF):
```
data_TaCuBr2
_space_group_name_H-M_alt 'P 1'
_space_group_IT_number 1
_space_group_name_Hall 'P 1'
_cell_length_a 3.099
_cell_length_b 4.295
_cell_length_c 5.541
_cell_angle_alpha 90.00
_cell_angle_beta 90.00
_cell_angle_gamma 90.00
loop_
_atom_site_label
_atom_site_fract_x
_atom_site_fract_y
_atom_site_fract_z
Br1 0.500 0.000 0.500
Cu1 0.500 0.500 0.000
Br2 0.000 0.000 0.000
Ta1 0.000 0.500 0.500
```

Properties
Theoretical density ... 9.1 g cm⁻³
Formation energy (no corrections) ... 0.63 eV/atom
Energy above the most stable polymorph in this dataset ... 0.000 eV per atom
Space-group type ... Pmmm
Total DFT energy (no corrections) ... -4.524 eV/atom
Density of states at the Fermi level ... 3.197 states/eV/f.u.



(2)
ZrTeAs2: optimized geometry, PBEsol.

Structure (CIF):
```
data_ZrTeAs2
_space_group_name_H-M_alt 'P 1'
_space_group_IT_number 1
_space_group_name_Hall 'P 1'
_cell_length_a 3.556
_cell_length_b 4.824
_cell_length_c 4.824
_cell_angle_alpha 101.92
_cell_angle_beta 90.00
_cell_angle_gamma 90.00
loop_
_atom_site_label
_atom_site_fract_x
_atom_site_fract_y
_atom_site_fract_z
Te1 0.500 0.000 0.000
Zr1 0.500 0.500 0.500
As1 0.000 0.000 0.500
As2 0.000 0.500 0.000
```

Properties
Theoretical density ... 7.6 g cm⁻³
Formation energy (no corrections) ... -0.20 eV/atom
Space-group type ... Cmmm
Total DFT energy (no corrections) ... -5.911 eV/atom
Density of states at the Fermi level ... 1.830 states/eV/f.u.



(3)
ErSiPd: optimized geometry, PBEsol.

Structure (CIF):
```
data_ErSiPd
_space_group_name_H-M_alt 'P 1'
_space_group_IT_number 1
_space_group_name_Hall 'P 1'
_cell_length_a 4.189
_cell_length_b 5.502
_cell_length_c 5.477
_cell_angle_alpha 76.80
_cell_angle_beta 67.52
_cell_angle_gamma 67.62
loop_
_atom_site_label
_atom_site_fract_x
_atom_site_fract_y
_atom_site_fract_z
Si1 0.846 0.100 0.209
Pd1 0.819 0.742 0.620
Er1 0.551 0.688 0.209
Si2 0.154 0.900 0.791
Er2 0.449 0.312 0.791
Pd2 0.181 0.258 0.380
```

Properties
Theoretical density ... 9.3 g cm⁻³
Formation energy (no corrections) ... -1.00 eV/atom
Space-group type ... C2/m
Total DFT energy (no corrections) ... -6.548 eV/atom
Density of states at the Fermi level ... 1.321 states/eV/f.u.



(4)
ZrTe2Pt: optimized geometry, PBEsol.

Structure (CIF):
```
data_ZrTe2Pt
_space_group_name_H-M_alt 'P 1'
_space_group_IT_number 1
_space_group_name_Hall 'P 1'
_cell_length_a 3.330
_cell_length_b 3.330
_cell_length_c 8.797
_cell_angle_alpha 90.00
_cell_angle_beta 90.00
_cell_angle_gamma 90.00
loop_
_atom_site_label
_atom_site_fract_x
_atom_site_fract_y
_atom_site_fract_z
Zr1 0.000 0.000 0.554
Te1 0.000 0.000 0.925
Te2 0.500 0.500 0.309
Pt1 0.500 0.500 0.711
```

Properties
Theoretical density ... 9.2 g cm⁻³
Formation energy (no corrections) ... -0.48 eV/atom
Energy above the most stable polymorph in this dataset ... 0.059 eV per atom
Space-group type ... P4mm
Total DFT energy (no corrections) ... -6.252 eV/atom
Density of states at the Fermi level ... 2.774 states/eV/f.u.